(1)
Compound: SrRe2Sb
Source: Alexandria
Functional: PBE
Structure: optimized geometry

For the formation energy without anion corrections, the calculation gives 1.253 eV per atom. For the total magnetization, the calculation gives 0.0 μB/f.u. The value obtained for the total energy is -6.42 eV/atom.

The structure belongs to space group Cmmm (No. 65); the cell edges are 5.853, 8.656 and 3.189 Å and the angles 90.00°, 90.00° and 90.00°. The inequivalent atoms are Sr at (0.000, 0.000, 0.000), Re at (0.250, 0.250, 0.500) and Sb at (0.000, 0.500, 0.000).



(2)
Compound: Cr2Fe
Source: Alexandria
Functional: PBE
Structure: optimized geometry

For the total magnetization, the calculation gives 2.3 μB/f.u. The value obtained for the total energy is -8.87 eV/atom. For the formation energy, the calculation gives 8.50 kcal/mol of atoms.

The structure belongs to space group Immm (No. 71); the cell edges are 2.328, 4.278 and 7.093 Å and the angles 90.00°, 90.00° and 90.00°. The inequivalent atoms are Cr at (0.000, 0.000, 0.173) and Fe at (0.000, 0.500, 0.000).



(3)
Compound: ReSiSe2Br
Source: Alexandria
Functional: PBE
Structure: optimized geometry

For the formation energy without anion corrections, the calculation gives 0.773 eV per atom. For the total magnetization, the calculation gives 0.8 μB/f.u. The value obtained for the total energy is -4.53 eV/atom.

The structure belongs to space group P4/mmm (No. 123); the cell edges are 4.804, 4.804 and 5.333 Å and the angles 90.00°, 90.00° and 90.00°. The inequivalent atoms are Re at (0.000, 0.000, 0.000), Si at (0.500, 0.500, 0.500), Se at (0.000, 0.500, 0.000) and Br at (0.000, 0.000, 0.500).



(4)
Compound: Nd4Dy6Tm
Source: Alexandria
Functional: PBE
Structure: optimized geometry

For the total magnetization, the calculation gives 0.0 μB/f.u. The value obtained for the total energy is -4.49 eV/atom. For the formation energy, the calculation gives 3.75 kcal/mol of atoms.

The structure belongs to space group P-6m2 (No. 187); the cell edges are 11.0265, 11.0265 and 3.5658 Å and the angles 90.00°, 90.00° and 120.00°. The inequivalent atoms are Nd at (0.0000, 0.0000, 0.0000), Nd at (0.5036, 0.0072, 0.5000), Dy at (0.1783, 0.3566, 0.0000), Dy at (0.3077, 0.1538, 0.5000) and Tm at (0.6667, 0.3333, 0.0000).



(5)
Compound: CrAuCl
Source: Alexandria
Functional: PBE
Structure: optimized geometry

For the formation energy without anion corrections, the calculation gives -0.015 eV per atom. For the total magnetization, the calculation gives 4.1 μB/f.u. The value obtained for the total energy is -4.93 eV/atom.

The structure belongs to space group I4mm (No. 107); the cell edges are 3.101, 3.101 and 12.759 Å and the angles 90.00°, 90.00° and 90.00°. The inequivalent atoms are Cr at (0.000, 0.000, 0.000), Au at (0.000, 0.000, 0.362) and Cl at (0.000, 0.000, 0.617).



(6)
Compound: TbHfAgHg
Source: Alexandria
Functional: PBE
Structure: optimized geometry

For the total magnetization, the calculation gives 0.9 μB/f.u. The value obtained for the total energy is -4.54 eV/atom. For the formation energy, the calculation gives -2.38 kcal/mol of atoms.

The structure belongs to space group F-43m (No. 216); the cell edges are 7.142, 7.142 and 7.142 Å and the angles 90.00°, 90.00° and 90.00°. The inequivalent atoms are Tb at (0.000, 0.000, 0.000), Hf at (0.000, 0.000, 0.500), Ag at (0.250, 0.250, 0.250) and Hg at (0.250, 0.250, 0.750).



(7)
Compound: LaFeSe2N
Source: Alexandria
Functional: PBE
Structure: optimized geometry

For the formation energy without anion corrections, the calculation gives -0.699 eV per atom. For the total magnetization, the calculation gives 0.1 μB/f.u. The value obtained for the total energy is -6.44 eV/atom.

The structure belongs to space group P4/mmm (No. 123); the cell edges are 5.031, 5.031 and 3.595 Å and the angles 90.00°, 90.00° and 90.00°. The inequivalent atoms are La at (0.000, 0.000, 0.000), Fe at (0.500, 0.500, 0.500), Se at (0.000, 0.500, 0.500) and N at (0.500, 0.500, 0.000).



(8)
Compound: Be2AgBr
Source: Alexandria
Functional: PBE
Structure: optimized geometry

For the formation energy without anion corrections, the calculation gives 0.257 eV per atom. For the total magnetization, the calculation gives 0.0 μB/f.u. The value obtained for the total energy is -2.74 eV/atom.

The structure belongs to space group Pm (No. 6); the cell edges are 3.267, 3.134 and 8.018 Å and the angles 90.00°, 98.94° and 90.00°. The inequivalent atoms are Be at (0.000, 0.000, 0.000), Be at (0.427, 0.500, 0.818), Ag at (0.545, 0.500, 0.116) and Br at (0.355, 0.000, 0.631).